(1)
DFT (PBE) results for an optimized crystal structure of SrTeMo.

a b c (Å): 4.6467 4.6467 4.4498
angles (deg): 90.00 90.00 120.00
Last column: nearest neighbours and their distance in Å.
Positions (direct):
Sr 0.6667 0.3333 0.3334  6 Mo 3.48-3.49, 6 Te 3.49
Mo 0.0000 0.0000 0.8333  3 Te 2.68
Te 0.3333 0.6667 0.8333  3 Mo 2.68

## Properties
Volume ... 27.7 Å³ per atom
Offset from the most stable computed form ... 328 meV/atom
ρ ... 6.2 Mg/m³
Crystal system ... hexagonal
D(E_F) ... 0.98 states/eV/atom

(2)
DFT (PBE) results for an optimized crystal structure of SrTe2Mo.

a b c (Å): 5.1526 5.1526 5.1526
angles (deg): 60.00 60.00 60.00
Last column: nearest neighbours and their distance in Å.
Positions (direct):
Sr 0.0000 0.0000 0.0000  8 Te 3.16
Te 0.2500 0.2500 0.2500  4 Mo 3.16, 4 Sr 3.16
Te 0.7500 0.7500 0.7500  4 Mo 3.16, 4 Sr 3.16
Mo 0.5000 0.5000 0.5000  8 Te 3.16

## Properties
Volume ... 24.2 Å³ per atom
Offset from the most stable computed form ... 300 meV/atom
ρ ... 7.5 Mg/m³
Crystal system ... cubic
D(E_F) ... 0.13 states/eV/atom

(3)
DFT (PBE) results for an optimized crystal structure of SrTe2Mo.

a b c (Å): 4.4585 7.7419 6.3182
angles (deg): 35.22 90.00 90.00
Last column: nearest neighbours and their distance in Å.
Positions (direct):
Te 0.0000 0.0000 0.0000  4 Mo 3.15, 2 Sr 3.16
Te 0.5000 0.5000 0.0000  4 Sr 3.15, 2 Mo 3.16
Sr 0.0000 0.0000 0.5000  6 Te 3.15-3.16
Mo 0.5000 0.5000 0.5000  6 Te 3.15-3.16

## Properties
Volume ... 31.4 Å³ per atom
Offset from the most stable computed form ... 200 meV/atom
ρ ... 5.8 Mg/m³
Crystal system ... monoclinic
D(E_F) ... 0.22 states/eV/atom

(4)
DFT (PBE) results for an optimized crystal structure of SrTe2Mo.

a b c (Å): 5.4724 5.4724 5.4724
angles (deg): 60.00 60.00 60.00
Last column: nearest neighbours and their distance in Å.
Positions (direct):
Te 0.0000 0.0000 0.0000  4 Te 3.35, 4 Sr 3.35
Sr 0.7500 0.7500 0.7500  4 Mo 3.35, 4 Te 3.35
Mo 0.5000 0.5000 0.5000  4 Te 3.35, 4 Sr 3.35
Te 0.2500 0.2500 0.2500  4 Mo 3.35, 4 Te 3.35

## Properties
Volume ... 29.0 Å³ per atom
Offset from the most stable computed form ... 876 meV/atom
ρ ... 6.3 Mg/m³
Crystal system ... cubic
D(E_F) ... 0.61 states/eV/atom

(5)
DFT (PBE) results for an optimized crystal structure of SrTe2Mo.

a b c (Å): 5.8213 5.8213 5.8213
angles (deg): 135.54 112.01 84.93
Last column: nearest neighbours and their distance in Å.
Positions (direct):
Te 0.5451 0.5451 0.0000  2 Mo 2.82
Sr 0.2500 0.7500 0.5000  8 Te 3.36-3.70
Te 0.9549 0.9549 0.0000  2 Mo 2.82
Mo 0.7500 0.2500 0.5000  4 Te 2.82

## Properties
Volume ... 30.8 Å³ per atom
Offset from the most stable computed form ... 224 meV/atom
ρ ... 5.9 Mg/m³
Crystal system ... orthorhombic
D(E_F) ... 0.51 states/eV/atom

(6)
DFT (PBE) results for an optimized crystal structure of Sr4TeMo.

a b c (Å): 7.0434 7.0434 7.0434
angles (deg): 60.00 60.00 60.00
Last column: nearest neighbours and their distance in Å.
Positions (direct):
Sr 0.3747 0.3747 0.3747  6 Sr 3.51-3.53
Sr 0.8759 0.3747 0.3747  6 Sr 3.51-3.53
Mo 0.0000 0.0000 0.0000  12 Sr 4.13, 4 Te 4.31
Sr 0.3747 0.8759 0.3747  6 Sr 3.51-3.53
Te 0.7500 0.7500 0.7500  12 Sr 4.13, 4 Mo 4.31
Sr 0.3747 0.3747 0.8759  6 Sr 3.51-3.53

## Properties
Volume ... 41.2 Å³ per atom
ρ ... 3.9 Mg/m³
Crystal system ... cubic
D(E_F) ... 0.96 states/eV/atom
Calculated total energy ... -16.2 eV/cell

(7)
DFT (PBE) results for an optimized crystal structure of SrTeMo4.

a b c (Å): 5.5176 5.5176 5.5176
angles (deg): 60.00 60.00 60.00
Last column: nearest neighbours and their distance in Å.
Positions (direct):
Mo 0.3732 0.3732 0.8804  6 Mo 2.72-2.80
Te 0.0000 0.0000 0.0000  12 Mo 3.23, 4 Sr 3.38
Mo 0.3732 0.8804 0.3732  6 Mo 2.72-2.80
Mo 0.3732 0.3732 0.3732  6 Mo 2.72-2.80
Mo 0.8804 0.3732 0.3732  6 Mo 2.72-2.80
Sr 0.7500 0.7500 0.7500  12 Mo 3.24, 4 Te 3.38

## Properties
Volume ... 19.8 Å³ per atom
ρ ... 8.4 Mg/m³
Crystal system ... cubic
D(E_F) ... 0.94 states/eV/atom
Calculated total energy ... -44.3 eV/cell

(8)
DFT (PBE) results for an optimized crystal structure of SrTe2Mo.

a b c (Å): 9.2626 9.2626 9.2626
angles (deg): 31.05 31.05 31.05
Last column: nearest neighbours and their distance in Å.
Positions (direct):
Sr 0.5000 0.5000 0.5000  6 Te 3.35
Mo 0.0000 0.0000 0.0000  2 Te 2.66
Te 0.1007 0.1007 0.1007  1 Mo 2.66
Te 0.8993 0.8993 0.8993  1 Mo 2.66

## Properties
Volume ... 46.9 Å³ per atom
Offset from the most stable computed form ... 617 meV/atom
ρ ... 3.9 Mg/m³
Crystal system ... trigonal
D(E_F) ... 1.25 states/eV/atom